# Tb3NdTl4 | Alexandria via LeMat-Bulk | GGA-PBE | optimized geometry
data_Tb3NdTl4
_symmetry_space_group_name_H-M 'P m m a'
_symmetry_Int_Tables_number 51
_symmetry_space_group_name_Hall '-P 2a 2a'
_cell_length_a 10.884
_cell_length_b 7.603
_cell_length_c 5.442
_cell_angle_alpha 90.00
_cell_angle_beta 90.00
_cell_angle_gamma 90.00
loop_
_atom_site_label
_atom_site_fract_x
_atom_site_fract_y
_atom_site_fract_z
Tb1 0.000 0.000 0.000
Tb2 0.250 0.000 0.499
Tb3 0.250 0.500 0.499
Nd1 0.000 0.500 0.000
Tl1 0.000 0.245 0.500
Tl2 0.250 0.245 0.999
# Formation energy from the elements, meV/atom: -362.7
# Size of the total moment, μB/cell: 0.00
# N(E_F), states/eV per cell: 11.77
# Raw total energy, eV/cell: -62.1
# Crystal system: orthorhombic

# Tb12Nd3Tl | Alexandria via LeMat-Bulk | GGA-PBE | optimized geometry
data_Tb12Nd3Tl
_symmetry_space_group_name_H-M 'P 4/m m m'
_symmetry_Int_Tables_number 123
_symmetry_space_group_name_Hall '-P 4 2'
_cell_length_a 5.004
_cell_length_b 5.004
_cell_length_c 20.346
_cell_angle_alpha 90.00
_cell_angle_beta 90.00
_cell_angle_gamma 90.00
loop_
_atom_site_label
_atom_site_fract_x
_atom_site_fract_y
_atom_site_fract_z
Tb1 0.000 0.000 0.000
Tb2 0.000 0.000 0.244
Tb3 0.000 0.000 0.500
Tb4 0.000 0.500 0.120
Tb5 0.000 0.500 0.373
Nd1 0.500 0.500 0.248
Nd2 0.500 0.500 0.500
Tl1 0.500 0.500 0.000
# Formation energy from the elements, meV/atom: -23.1
# Size of the total moment, μB/cell: 0.00
# N(E_F), states/eV per cell: 20.61
# Raw total energy, eV/cell: -72.6
# Crystal system: tetragonal

# TbNdTl3 | Alexandria via LeMat-Bulk | GGA-PBE | optimized geometry
data_TbNdTl3
_symmetry_space_group_name_H-M 'P 63/m m c'
_symmetry_Int_Tables_number 194
_symmetry_space_group_name_Hall '-P 6c 2c'
_cell_length_a 7.4329
_cell_length_b 7.4329
_cell_length_c 6.5360
_cell_angle_alpha 90.00
_cell_angle_beta 90.00
_cell_angle_gamma 120.00
loop_
_atom_site_label
_atom_site_fract_x
_atom_site_fract_y
_atom_site_fract_z
Tb1 0.0000 0.0000 0.0000
Nd1 0.3333 0.6667 0.2500
Tl1 0.1996 0.3992 0.7500
# Formation energy from the elements, meV/atom: -124.4
# Size of the total moment, μB/cell: 0.00
# N(E_F), states/eV per cell: 7.44
# Raw total energy, eV/cell: -34.2
# Crystal system: hexagonal

# Tb2Nd5Tl | Alexandria via LeMat-Bulk | GGA-PBE | optimized geometry
data_Tb2Nd5Tl
_symmetry_space_group_name_H-M 'I m m m'
_symmetry_Int_Tables_number 71
_symmetry_space_group_name_Hall '-I 2 2'
_cell_length_a 3.515
_cell_length_b 11.360
_cell_length_c 13.163
_cell_angle_alpha 90.00
_cell_angle_beta 90.00
_cell_angle_gamma 90.00
loop_
_atom_site_label
_atom_site_fract_x
_atom_site_fract_y
_atom_site_fract_z
Tb1 0.000 0.000 0.231
Nd1 0.000 0.000 0.500
Nd2 0.000 0.264 0.131
Tl1 0.000 0.500 0.500
# Formation energy from the elements, meV/atom: -5.9
# Size of the total moment, μB/cell: 0.00
# N(E_F), states/eV per cell: 20.75
# Raw total energy, eV/cell: -71.0
# Crystal system: orthorhombic

# Tb3NdTl4 | Alexandria via LeMat-Bulk | GGA-PBE | optimized geometry
data_Tb3NdTl4
_symmetry_space_group_name_H-M 'I m m m'
_symmetry_Int_Tables_number 71
_symmetry_space_group_name_Hall '-I 2 2'
_cell_length_a 3.537
_cell_length_b 7.282
_cell_length_c 18.736
_cell_angle_alpha 90.00
_cell_angle_beta 90.00
_cell_angle_gamma 90.00
loop_
_atom_site_label
_atom_site_fract_x
_atom_site_fract_y
_atom_site_fract_z
Tb1 0.000 0.000 0.000
Tb2 0.000 0.500 0.219
Nd1 0.000 0.000 0.500
Tl1 0.000 0.287 0.372
# Formation energy from the elements, meV/atom: -226.9
# Size of the total moment, μB/cell: 0.00
# N(E_F), states/eV per cell: 15.46
# Raw total energy, eV/cell: -59.9
# Crystal system: orthorhombic

# Tb5NdTl2 | Alexandria via LeMat-Bulk | GGA-PBE | optimized geometry
data_Tb5NdTl2
_symmetry_space_group_name_H-M 'I m m m'
_symmetry_Int_Tables_number 71
_symmetry_space_group_name_Hall '-I 2 2'
_cell_length_a 3.669
_cell_length_b 10.552
_cell_length_c 12.742
_cell_angle_alpha 90.00
_cell_angle_beta 90.00
_cell_angle_gamma 90.00
loop_
_atom_site_label
_atom_site_fract_x
_atom_site_fract_y
_atom_site_fract_z
Tb1 0.000 0.000 0.000
Tb2 0.000 0.274 0.365
Nd1 0.000 0.500 0.000
Tl1 0.000 0.000 0.262
# Formation energy from the elements, meV/atom: -126.2
# Size of the total moment, μB/cell: 0.00
# N(E_F), states/eV per cell: 22.55
# Raw total energy, eV/cell: -67.3
# Crystal system: orthorhombic

# Tb3Nd2Tl | Alexandria via LeMat-Bulk | GGA-PBE | optimized geometry
data_Tb3Nd2Tl
_symmetry_space_group_name_H-M 'I m m 2'
_symmetry_Int_Tables_number 44
_symmetry_space_group_name_Hall 'I 2 -2'
_cell_length_a 3.488
_cell_length_b 17.731
_cell_length_c 6.468
_cell_angle_alpha 90.00
_cell_angle_beta 90.00
_cell_angle_gamma 90.00
loop_
_atom_site_label
_atom_site_fract_x
_atom_site_fract_y
_atom_site_fract_z
Tb1 0.000 0.000 0.000
Tb2 0.000 0.365 0.793
Nd1 0.000 0.310 0.298
Tl1 0.000 0.500 0.080
# Formation energy from the elements, meV/atom: 113.9
# Size of the total moment, μB/cell: 0.00
# N(E_F), states/eV per cell: 17.87
# Raw total energy, eV/cell: -50.2
# Crystal system: orthorhombic

# Tb3Nd4Tl | Alexandria via LeMat-Bulk | GGA-PBE | optimized geometry
data_Tb3Nd4Tl
_symmetry_space_group_name_H-M 'P m n 21'
_symmetry_Int_Tables_number 31
_symmetry_space_group_name_Hall 'P 2ac -2'
_cell_length_a 11.388
_cell_length_b 7.204
_cell_length_c 6.281
_cell_angle_alpha 90.00
_cell_angle_beta 90.00
_cell_angle_gamma 90.00
loop_
_atom_site_label
_atom_site_fract_x
_atom_site_fract_y
_atom_site_fract_z
Tb1 0.000 0.127 0.000
Tb2 0.246 0.116 0.322
Nd1 0.000 0.370 0.524
Nd2 0.000 0.631 0.969
Nd3 0.229 0.635 0.338
Tl1 0.000 0.894 0.503
# Formation energy from the elements, meV/atom: -61.6
# Size of the total moment, μB/cell: 0.00
# N(E_F), states/eV per cell: 19.98
# Raw total energy, eV/cell: -71.6
# Crystal system: orthorhombic

# Tb2Nd5Tl4 | Alexandria via LeMat-Bulk | GGA-PBE | optimized geometry
data_Tb2Nd5Tl4
_symmetry_space_group_name_H-M 'C 1 2/m 1'
_symmetry_Int_Tables_number 12
_symmetry_space_group_name_Hall '-C 2y'
_cell_length_a 24.828
_cell_length_b 3.526
_cell_length_c 8.151
_cell_angle_alpha 90.00
_cell_angle_beta 93.10
_cell_angle_gamma 90.00
loop_
_atom_site_label
_atom_site_fract_x
_atom_site_fract_y
_atom_site_fract_z
Tb1 0.090 0.000 0.219
Nd1 0.000 0.500 0.500
Nd2 0.141 0.000 0.627
Nd3 0.234 0.000 0.288
Tl1 0.038 0.000 0.852
Tl2 0.166 0.500 0.974
# Formation energy from the elements, meV/atom: -45.8
# Size of the total moment, μB/cell: 0.00
# N(E_F), states/eV per cell: 27.79
# Raw total energy, eV/cell: -86.1
# Crystal system: monoclinic

# TbNd4Tl2 | Alexandria via LeMat-Bulk | GGA-PBE | optimized geometry
data_TbNd4Tl2
_symmetry_space_group_name_H-M 'R -3 m'
_symmetry_Int_Tables_number 166
_symmetry_space_group_name_Hall '-R 3 2"'
_cell_length_a 5.6112
_cell_length_b 5.6112
_cell_length_c 27.1273
_cell_angle_alpha 90.00
_cell_angle_beta 90.00
_cell_angle_gamma 120.00
loop_
_atom_site_label
_atom_site_fract_x
_atom_site_fract_y
_atom_site_fract_z
Tb1 0.0000 0.0000 0.0000
Nd1 0.0000 0.0000 0.2321
Nd2 0.0000 0.0000 0.3695
Tl1 0.0000 0.0000 0.1142
# Formation energy from the elements, meV/atom: 25.3
# Size of the total moment, μB/cell: 0.01
# N(E_F), states/eV per cell: 36.51
# Raw total energy, eV/cell: -84.8
# Crystal system: trigonal

# Tb9Nd4Tl11 | Alexandria via LeMat-Bulk | GGA-PBE | optimized geometry
data_Tb9Nd4Tl11
_symmetry_space_group_name_H-M 'C m m m'
_symmetry_Int_Tables_number 65
_symmetry_space_group_name_Hall '-C 2 2'
_cell_length_a 16.362
_cell_length_b 23.308
_cell_length_c 3.594
_cell_angle_alpha 90.00
_cell_angle_beta 90.00
_cell_angle_gamma 90.00
loop_
_atom_site_label
_atom_site_fract_x
_atom_site_fract_y
_atom_site_fract_z
Tb1 0.000 0.000 0.000
Tb2 0.108 0.405 0.000
Tb3 0.114 0.226 0.000
Nd1 0.169 0.081 0.000
Tl1 0.000 0.124 0.500
Tl2 0.000 0.312 0.500
Tl3 0.000 0.500 0.500
Tl4 0.205 0.500 0.500
Tl5 0.227 0.318 0.500
# Formation energy from the elements, meV/atom: -286.1
# Size of the total moment, μB/cell: 0.00
# N(E_F), states/eV per cell: 48.35
# Raw total energy, eV/cell: -187.3
# Crystal system: orthorhombic

# TbNdTl2 | Alexandria via LeMat-Bulk | GGA-PBE | optimized geometry
data_TbNdTl2
_symmetry_space_group_name_H-M 'P 4/m m m'
_symmetry_Int_Tables_number 123
_symmetry_space_group_name_Hall '-P 4 2'
_cell_length_a 3.856
_cell_length_b 3.856
_cell_length_c 7.699
_cell_angle_alpha 90.00
_cell_angle_beta 90.00
_cell_angle_gamma 90.00
loop_
_atom_site_label
_atom_site_fract_x
_atom_site_fract_y
_atom_site_fract_z
Tb1 0.000 0.000 0.000
Nd1 0.000 0.000 0.500
Tl1 0.500 0.500 0.240
# Formation energy from the elements, meV/atom: -378.6
# Size of the total moment, μB/cell: 0.00
# N(E_F), states/eV per cell: 3.10
# Raw total energy, eV/cell: -15.6
# Crystal system: tetragonal